1.
Entry from the Alexandria database: an optimized crystal structure of CdIn2GaCu (GGA-PBE).

Lattice parameters (Å, degrees): 5.167 5.167 4.693 90.00 90.00 90.00
Positions (direct):
1 Cd 0.000 0.000 0.000
2 In 0.000 0.500 0.500
3 In 0.500 0.000 0.500
4 Ga 0.500 0.500 0.000
5 Cu 0.500 0.500 0.500

Properties
SG: P4/mmm (123)
Total energy in eV per atom: -2.55
N(E_F) in states/eV/f.u.: 2.99


2.
Entry from the Alexandria database: an optimized crystal structure of KCdGa2Cu (GGA-PBE).

Lattice parameters (Å, degrees): 4.804 4.804 5.114 90.00 90.00 90.00
Positions (direct):
1 K 0.000 0.000 0.000
2 Cd 0.500 0.500 0.000
3 Ga 0.000 0.500 0.500
4 Ga 0.500 0.000 0.500
5 Cu 0.500 0.500 0.500

Properties
SG: P4/mmm (123)
Total energy in eV per atom: -2.37
N(E_F) in states/eV/f.u.: 2.08


3.
Entry from the Alexandria database: an optimized crystal structure of KCd2GaCu (GGA-PBE).

Lattice parameters (Å, degrees): 5.179 5.179 4.805 90.00 90.00 90.00
Positions (direct):
1 K 0.000 0.000 0.000
2 Cd 0.000 0.500 0.500
3 Cd 0.500 0.000 0.500
4 Ga 0.500 0.500 0.000
5 Cu 0.500 0.500 0.500

Properties
SG: P4/mmm (123)
Total energy in eV per atom: -1.97
N(E_F) in states/eV/f.u.: 2.57


Repeat the third record exactly.
Entry from the Alexandria database: an optimized crystal structure of KCd2GaCu (GGA-PBE).

Lattice parameters (Å, degrees): 5.179 5.179 4.805 90.00 90.00 90.00
Positions (direct):
1 K 0.000 0.000 0.000
2 Cd 0.000 0.500 0.500
3 Cd 0.500 0.000 0.500
4 Ga 0.500 0.500 0.000
5 Cu 0.500 0.500 0.500

Properties
SG: P4/mmm (123)
Total energy in eV per atom: -1.97
N(E_F) in states/eV/f.u.: 2.57


Question: Which of these has the lowest N(E_F)?
Answer: KCdGa2Cu


Question: Which value of total energy does entry 3 give?
Answer: -1.97 eV per atom